1.
# Ti3GaC

An optimized crystal structure of Ti3GaC (GGA-PBE, Alexandria via LeMat-Bulk).

**Magnetization**: 0.00 μB per cell
**ΔH_f (0 K)**: -13.15 kcal/mol of atoms
**Space-group type**: P2/m (10)

Lattice parameters (Å, degrees): 5.1515 5.7862 5.1516 93.53 73.08 86.47
Last column: nearest neighbours and their distance in Å.
Positions (direct):
Ti (0.5878, 0.9390, 0.6380)  2 C 2.09-2.10
Ti (0.0872, 0.9390, 0.1374)  2 C 2.09-2.10
Ti (0.1116, 0.6905, 0.6137)  2 C 2.07
Ti (0.6355, 0.4423, 0.5902)  2 C 2.09-2.10
Ti (0.1350, 0.4422, 0.0897)  2 C 2.09-2.10
Ti (0.6113, 0.6907, 0.1140)  2 C 2.07
Ga (0.6110, 0.1907, 0.1144)  10 Ti 2.81-3.12, 2 Ga 3.06-3.07
Ga (0.1119, 0.1904, 0.6134)  10 Ti 2.81-3.12, 2 Ga 3.06-3.07
C (0.8614, 0.6906, 0.3639)  6 Ti 2.07-2.10
C (0.3614, 0.6906, 0.8639)  6 Ti 2.07-2.10


2.
# Ti3GaC

An optimized crystal structure of Ti3GaC (GGA-PBE, Alexandria via LeMat-Bulk).

**Magnetization**: 0.00 μB per cell
**ΔH_f (0 K)**: -0.35 kcal/mol of atoms
**Space-group type**: R-3c (167)

Lattice parameters (Å, degrees): 5.2739 5.2739 5.2739 89.95 89.95 89.95
Last column: nearest neighbours and their distance in Å.
Positions (direct):
Ga (0.0000, 0.0000, 0.0000)  2 C 2.29
Ga (0.5000, 0.5000, 0.5000)  2 C 2.29
C (0.7500, 0.7500, 0.7500)  3 Ti 1.98
C (0.2500, 0.2500, 0.2500)  3 Ti 1.98
Ti (0.9846, 0.5154, 0.2500)  1 C 1.98
Ti (0.5154, 0.2500, 0.9846)  1 C 1.98
Ti (0.2500, 0.9846, 0.5154)  1 C 1.98
Ti (0.7500, 0.0154, 0.4846)  1 C 1.98
Ti (0.4846, 0.7500, 0.0154)  1 C 1.98
Ti (0.0154, 0.4846, 0.7500)  1 C 1.98


3.
# TiGa3C

An optimized crystal structure of TiGa3C (GGA-PBE, Alexandria via LeMat-Bulk).

**Magnetization**: 0.95 μB per cell
**ΔH_f (0 K)**: 39.91 kcal/mol of atoms
**Space-group type**: Pm-3m (221)

Lattice parameters (Å, degrees): 5.0292 5.0292 5.0292 90.00 90.00 90.00
Last column: nearest neighbours and their distance in Å.
Positions (direct):
Ga (0.5000, 0.0000, 0.0000)  2 Ti 2.51
Ga (0.0000, 0.5000, 0.0000)  2 Ti 2.51
Ga (0.0000, 0.0000, 0.5000)  2 Ti 2.51
Ti (0.0000, 0.0000, 0.0000)  6 Ga 2.51
C (0.5000, 0.5000, 0.5000)  12 Ga 3.56


4.
# Ti4GaC3

An optimized crystal structure of Ti4GaC3 (GGA-PBE, Alexandria via LeMat-Bulk).

**Magnetization**: 0.00 μB per cell
**ΔH_f (0 K)**: -18.56 kcal/mol of atoms
**Space-group type**: P6_3/mmc (194)

Lattice parameters (Å, degrees): 3.0905 3.0905 23.2838 90.00 90.00 120.00
Last column: nearest neighbours and their distance in Å.
Positions (direct):
C (0.3333, 0.6667, 0.8906)  6 Ti 2.07-2.24
C (0.0000, 0.0000, 0.5000)  6 Ti 2.15
C (0.6667, 0.3333, 0.3906)  6 Ti 2.07-2.24
C (0.3333, 0.6667, 0.6094)  6 Ti 2.07-2.24
C (0.0000, 0.0000, 0.0000)  6 Ti 2.15
C (0.6667, 0.3333, 0.1094)  6 Ti 2.07-2.24
Ti (0.3333, 0.6667, 0.0516)  6 C 2.15-2.24
Ti (0.0000, 0.0000, 0.3451)  3 C 2.07
Ti (0.6667, 0.3333, 0.5516)  6 C 2.15-2.24
Ti (0.0000, 0.0000, 0.8451)  3 C 2.07
Ti (0.3333, 0.6667, 0.4484)  6 C 2.15-2.24
Ti (0.0000, 0.0000, 0.6549)  3 C 2.07
Ti (0.0000, 0.0000, 0.1549)  3 C 2.07
Ti (0.6667, 0.3333, 0.9484)  6 C 2.15-2.24
Ga (0.3333, 0.6667, 0.2500)  6 Ti 2.84, 6 Ga 3.09
Ga (0.6667, 0.3333, 0.7500)  6 Ti 2.84, 6 Ga 3.09


5.
# Ti3GaC

An optimized crystal structure of Ti3GaC (GGA-PBE, Alexandria via LeMat-Bulk).

**Magnetization**: 0.00 μB per cell
**ΔH_f (0 K)**: 13.21 kcal/mol of atoms
**Space-group type**: P6_3/mmc (194)

Lattice parameters (Å, degrees): 3.9461 3.9461 12.7186 90.00 90.00 120.00
Last column: nearest neighbours and their distance in Å.
Positions (direct):
Ti (0.3333, 0.6667, 0.9427)  3 C 2.39, 1 Ga 2.45
Ti (0.3333, 0.6667, 0.5573)  3 C 2.39, 1 Ga 2.45
Ti (0.6667, 0.3333, 0.4427)  3 C 2.39, 1 Ga 2.45
Ti (0.6667, 0.3333, 0.0573)  3 C 2.39, 1 Ga 2.45
Ti (0.0000, 0.0000, 0.2500)  3 Ga 2.28
Ti (0.0000, 0.0000, 0.7500)  3 Ga 2.28
C (0.0000, 0.0000, 0.5000)  6 Ti 2.39
C (0.0000, 0.0000, 0.0000)  6 Ti 2.39
Ga (0.6667, 0.3333, 0.2500)  5 Ti 2.28-2.45
Ga (0.3333, 0.6667, 0.7500)  5 Ti 2.28-2.45


6.
# Ti3GaC

An optimized crystal structure of Ti3GaC (GGA-PBE, Alexandria via LeMat-Bulk).

**Magnetization**: 0.00 μB per cell
**ΔH_f (0 K)**: -13.57 kcal/mol of atoms
**Space-group type**: C2/m (12)

Lattice parameters (Å, degrees): 3.1209 8.9077 5.5710 76.11 73.72 90.00
Last column: nearest neighbours and their distance in Å.
Positions (direct):
C (0.3339, 0.7169, 0.6252)  6 Ti 2.11-2.13
C (0.7958, 0.0084, 0.7016)  6 Ti 2.11-2.13
Ti (0.9609, 0.6966, 0.3713)  2 C 2.11
Ti (0.4159, 0.9599, 0.4614)  3 C 2.12-2.13
Ti (0.8774, 0.2497, 0.5380)  1 C 2.11
Ti (0.2523, 0.4756, 0.7887)  1 C 2.11
Ti (0.7137, 0.7654, 0.8653)  3 C 2.12-2.13
Ti (0.1688, 0.0287, 0.9554)  2 C 2.11
Ga (0.6014, 0.2399, 0.0904)  1 Ga 2.50, 5 Ti 2.68-2.78
Ga (0.5283, 0.4854, 0.2363)  1 Ga 2.50, 5 Ti 2.68-2.78


7.
# Ti4Ga2C

An optimized crystal structure of Ti4Ga2C (GGA-PBE, Alexandria via LeMat-Bulk).

**Magnetization**: 0.00 μB per cell
**ΔH_f (0 K)**: -11.67 kcal/mol of atoms
**Space-group type**: Fd-3m (227)

Lattice parameters (Å, degrees): 8.3297 8.3297 8.3297 60.00 60.00 60.00
Last column: nearest neighbours and their distance in Å.
Positions (direct):
Ti (0.6250, 0.6250, 0.1250)  6 Ga 2.63
Ti (0.4363, 0.0637, 0.4363)  2 C 2.20
Ti (0.0637, 0.4363, 0.0637)  2 C 2.20
Ti (0.0637, 0.4363, 0.4363)  2 C 2.20
Ti (0.6250, 0.6250, 0.6250)  6 Ga 2.63
Ti (0.8137, 0.1863, 0.1863)  2 C 2.20
Ti (0.4363, 0.4363, 0.0637)  2 C 2.20
Ti (0.1863, 0.1863, 0.8137)  2 C 2.20
Ti (0.0637, 0.0637, 0.4363)  2 C 2.20
Ti (0.1863, 0.8137, 0.1863)  2 C 2.20
Ti (0.4363, 0.0637, 0.0637)  2 C 2.20
Ti (0.6250, 0.1250, 0.6250)  6 Ga 2.63
Ti (0.1250, 0.6250, 0.6250)  6 Ga 2.63
Ti (0.8137, 0.8137, 0.1863)  2 C 2.20
Ti (0.1863, 0.8137, 0.8137)  2 C 2.20
Ti (0.8137, 0.1863, 0.8137)  2 C 2.20
C (0.1250, 0.1250, 0.1250)  6 Ti 2.20
C (0.6250, 0.1250, 0.1250)  6 Ti 2.20
C (0.1250, 0.6250, 0.1250)  6 Ti 2.20
C (0.1250, 0.1250, 0.6250)  6 Ti 2.20
Ga (0.8435, 0.8435, 0.4696)  6 Ti 2.63
Ga (0.7804, 0.4065, 0.4065)  6 Ti 2.63
Ga (0.4065, 0.4065, 0.4065)  6 Ti 2.63
Ga (0.4065, 0.7804, 0.4065)  6 Ti 2.63
Ga (0.8435, 0.8435, 0.8435)  6 Ti 2.63
Ga (0.4696, 0.8435, 0.8435)  6 Ti 2.63
Ga (0.4065, 0.4065, 0.7804)  6 Ti 2.63
Ga (0.8435, 0.4696, 0.8435)  6 Ti 2.63


8.
# Ti3GaC

An optimized crystal structure of Ti3GaC (GGA-PBE, Alexandria via LeMat-Bulk).

**Magnetization**: 0.00 μB per cell
**ΔH_f (0 K)**: -11.13 kcal/mol of atoms
**Space-group type**: C2/c (15)

Lattice parameters (Å, degrees): 11.8316 8.2950 8.2950 115.68 140.82 39.18
Last column: nearest neighbours and their distance in Å.
Positions (direct):
Ga (0.2500, 0.7554, 0.2554)  6 Ti 2.69-2.87, 3 Ga 2.83-2.87
Ga (0.2500, 0.4352, 0.9352)  6 Ti 2.56-2.82, 1 Ga 2.83
Ga (0.7500, 0.5648, 0.0648)  6 Ti 2.56-2.82, 1 Ga 2.83
Ga (0.7500, 0.2446, 0.7446)  6 Ti 2.69-2.87, 3 Ga 2.83-2.87
C (0.0750, 0.1220, 0.7254)  6 Ti 2.06-2.19
C (0.9250, 0.8780, 0.2746)  6 Ti 2.06-2.19
C (0.5750, 0.7746, 0.3780)  6 Ti 2.06-2.19
C (0.4250, 0.2254, 0.6220)  6 Ti 2.06-2.19
Ti (0.0901, 0.6000, 0.5305)  2 C 2.06-2.11
Ti (0.9099, 0.4000, 0.4695)  2 C 2.06-2.11
Ti (0.4099, 0.0305, 0.1000)  2 C 2.06-2.11
Ti (0.7094, 0.2142, 0.0055)  2 C 2.15-2.19
Ti (0.7548, 0.8822, 0.6869)  2 C 2.10-2.11
Ti (0.7906, 0.5055, 0.7142)  2 C 2.15-2.19
Ti (0.2548, 0.8131, 0.6178)  2 C 2.10-2.11
Ti (0.2094, 0.4945, 0.2858)  2 C 2.15-2.19
Ti (0.2906, 0.7858, 0.9945)  2 C 2.15-2.19
Ti (0.7452, 0.1869, 0.3822)  2 C 2.10-2.11
Ti (0.2452, 0.1178, 0.3131)  2 C 2.10-2.11
Ti (0.5901, 0.9695, 0.9000)  2 C 2.06-2.11


9.
# Ti3GaC

An optimized crystal structure of Ti3GaC (GGA-PBE, Alexandria via LeMat-Bulk).

**Magnetization**: 0.00 μB per cell
**ΔH_f (0 K)**: -8.90 kcal/mol of atoms
**Space-group type**: R-3 (148)

Lattice parameters (Å, degrees): 7.1516 7.1516 7.1516 43.79 43.79 43.79
Last column: nearest neighbours and their distance in Å.
Positions (direct):
Ga (0.6637, 0.6637, 0.6637)  6 Ti 2.73-2.75
Ga (0.3363, 0.3363, 0.3363)  6 Ti 2.73-2.75
C (0.1614, 0.1614, 0.1614)  6 Ti 2.07-2.13
C (0.8386, 0.8386, 0.8386)  6 Ti 2.07-2.13
Ti (0.5507, 0.9040, 0.2220)  2 C 2.07-2.13
Ti (0.0960, 0.7780, 0.4493)  2 C 2.07-2.13
Ti (0.7780, 0.4493, 0.0960)  2 C 2.07-2.13
Ti (0.4493, 0.0960, 0.7780)  2 C 2.07-2.13
Ti (0.9040, 0.2220, 0.5507)  2 C 2.07-2.13
Ti (0.2220, 0.5507, 0.9040)  2 C 2.07-2.13


10.
# Ti3GaC

An optimized crystal structure of Ti3GaC (GGA-PBE, Alexandria via LeMat-Bulk).

**Magnetization**: 0.00 μB per cell
**ΔH_f (0 K)**: -13.12 kcal/mol of atoms
**Space-group type**: Pmmm (47)

Lattice parameters (Å, degrees): 4.1030 6.1019 7.1152 90.00 125.24 90.00
Last column: nearest neighbours and their distance in Å.
Positions (direct):
Ti (0.5000, 0.2500, 0.5000)  2 C 2.05
Ti (0.2484, 0.5000, 0.7491)  2 C 2.10
Ti (0.5000, 0.7500, 0.5000)  2 C 2.05
Ti (0.7516, 0.5000, 0.2509)  2 C 2.10
Ti (0.7516, 0.0000, 0.2509)  2 C 2.10
Ti (0.2484, 0.0000, 0.7491)  2 C 2.10
C (0.0000, 0.7500, 0.5000)  6 Ti 2.05-2.10
C (0.0000, 0.2500, 0.5000)  6 Ti 2.05-2.10
Ga (0.0000, 0.7500, 0.0000)  10 Ti 2.91-2.94, 2 Ga 3.05
Ga (0.0000, 0.2500, 0.0000)  10 Ti 2.91-2.94, 2 Ga 3.05